Record 1
The following is a PBE calculation of a relaxed BeVGa2Ir crystal, from Alexandria via LeMat-Bulk.

abc: 4.5632 4.5632 4.1119
angles: 90.00 90.00 90.00
Fractional positions:
Be 0.0000 0.0000 0.0000
V 0.0000 0.0000 0.5000
Ga 0.0000 0.5000 0.5000
Ga 0.5000 0.0000 0.5000
Ir 0.5000 0.5000 0.0000

Calculated values
**Calculated volume**: 86 Å³ per cell
**E_tot**: -4.322 eV per atom
**ΔE_f**: 1230 meV per atom


Record 2
The following is a PBE calculation of a relaxed LaY2PH crystal, from Alexandria via LeMat-Bulk.

abc: 5.7325 5.7325 4.0365
angles: 90.00 90.00 90.00
Fractional positions:
La 0.0000 0.0000 0.0000
Y 0.0000 0.5000 0.0000
Y 0.5000 0.0000 0.0000
P 0.5000 0.5000 0.5000
H 0.0000 0.0000 0.5000

Calculated values
**Calculated volume**: 133 Å³ per cell
**E_tot**: -4.692 eV per atom


Record 3
The following is a PBE calculation of a relaxed K3Dy3BiS8 crystal, from Alexandria via LeMat-Bulk.

abc: 8.8191 8.8191 8.8191
angles: 54.30 54.30 54.30
Fractional positions:
K 0.0000 0.5000 0.5000
K 0.5000 0.0000 0.5000
K 0.5000 0.5000 0.0000
Dy 0.0000 0.0000 0.5000
Dy 0.0000 0.5000 0.0000
Dy 0.5000 0.0000 0.0000
Bi 0.5000 0.5000 0.5000
S 0.2331 0.2331 0.2331
S 0.2333 0.7334 0.7334
S 0.2666 0.2666 0.7667
S 0.2666 0.7667 0.2666
S 0.7334 0.2333 0.7334
S 0.7334 0.7334 0.2333
S 0.7667 0.2666 0.2666
S 0.7669 0.7669 0.7669

Calculated values
**Calculated volume**: 420 Å³ per cell
**E_tot**: -5.128 eV per atom


Record 4
The following is a PBE calculation of a relaxed AcYGeIr crystal, from Alexandria via LeMat-Bulk.

abc: 5.1947 5.1947 5.1947
angles: 60.00 60.00 60.00
Fractional positions:
Ac 0.0000 0.0000 0.0000
Y 0.5000 0.5000 0.5000
Ge 0.7500 0.7500 0.7500
Ir 0.2500 0.2500 0.2500

Calculated values
**Calculated volume**: 99 Å³ per cell
**E_tot**: -6.511 eV per atom
**ΔE_f**: -498 meV per atom


Record 5
The following is a PBE calculation of a relaxed Y5ZnCo2 crystal, from Alexandria via LeMat-Bulk.

abc: 8.4765 8.4765 8.4765
angles: 126.85 126.85 78.50
Fractional positions:
Y 0.0000 0.0000 0.0000
Y 0.0264 0.5264 0.8255
Y 0.2009 0.0264 0.5000
Y 0.2991 0.7991 0.8255
Y 0.4736 0.2991 0.5000
Y 0.5000 0.5000 0.0000
Y 0.5264 0.7009 0.5000
Y 0.7009 0.2009 0.1745
Y 0.7991 0.9736 0.5000
Y 0.9736 0.4736 0.1745
Zn 0.2500 0.2500 0.0000
Zn 0.7500 0.7500 0.0000
Co 0.1321 0.3679 0.5000
Co 0.3679 0.8679 0.2357
Co 0.6321 0.1321 0.7643
Co 0.8679 0.6321 0.5000

Calculated values
**Calculated volume**: 378 Å³ per cell
**E_tot**: -6.177 eV per atom
**ΔE_f**: -202 meV per atom


Record 6
The following is a PBE calculation of a relaxed ScNi2RuPb crystal, from Alexandria via LeMat-Bulk.

abc: 4.6555 4.6555 5.3638
angles: 90.00 90.00 90.00
Fractional positions:
Sc 0.0000 0.0000 0.0000
Ni 0.0000 0.5000 0.5000
Ni 0.5000 0.0000 0.5000
Ru 0.5000 0.5000 0.0000
Pb 0.0000 0.0000 0.5000

Calculated values
**Calculated volume**: 116 Å³ per cell
**E_tot**: -4.722 eV per atom
**ΔE_f**: 1453 meV per atom


Record 7
The following is a PBE calculation of a relaxed USi2 crystal, from Alexandria via LeMat-Bulk.

abc: 4.0282 4.0282 3.8179
angles: 90.00 90.00 120.00
Fractional positions:
U 0.0000 0.0000 0.0000
Si 0.3333 0.6667 0.5000
Si 0.6667 0.3333 0.5000

Calculated values
**Calculated volume**: 54 Å³ per cell
**E_tot**: -7.708 eV per atom


Record 8
The following is a PBE calculation of a relaxed Ba3Zn2Au3 crystal, from Alexandria via LeMat-Bulk.

abc: 6.5092 6.5092 17.0652
angles: 90.00 90.00 137.69
Fractional positions:
Ba 0.0890 0.9110 0.7500
Ba 0.3771 0.6229 0.5940
Ba 0.3771 0.6229 0.9060
Ba 0.6229 0.3771 0.0940
Ba 0.6229 0.3771 0.4060
Ba 0.9110 0.0890 0.2500
Zn 0.3306 0.6694 0.1114
Zn 0.3306 0.6694 0.3886
Zn 0.6694 0.3306 0.6114
Zn 0.6694 0.3306 0.8886
Au 0.0950 0.9050 0.5538
Au 0.0950 0.9050 0.9462
Au 0.2109 0.7891 0.2500
Au 0.7891 0.2109 0.7500
Au 0.9050 0.0950 0.0538
Au 0.9050 0.0950 0.4462

Calculated values
**Calculated volume**: 487 Å³ per cell
**E_tot**: -2.834 eV per atom
**ΔE_f**: -565 meV per atom


Record 9
The following is a PBE calculation of a relaxed CoTcHg2 crystal, from Alexandria via LeMat-Bulk.

abc: 4.9767 4.9767 4.9767
angles: 130.91 130.91 71.96
Fractional positions:
Co 0.0000 0.0000 0.0000
Tc 0.5000 0.5000 0.0000
Hg 0.2500 0.7500 0.5000
Hg 0.7500 0.2500 0.5000

Calculated values
**Calculated volume**: 69 Å³ per cell
**Energy above the lowest structure with this stoichiometry**: 0.351 eV/atom
**E_tot**: -3.834 eV per atom
**ΔE_f**: 684 meV per atom


Record 10
The following is a PBE calculation of a relaxed CrReNi crystal, from Alexandria via LeMat-Bulk.

abc: 4.1732 4.1732 2.5187
angles: 90.00 90.00 120.00
Fractional positions:
Cr 0.0000 0.0000 0.0000
Re 0.6667 0.3333 0.6375
Ni 0.3333 0.6667 0.1607

Calculated values
**Calculated volume**: 38 Å³ per cell
**Energy above the lowest structure with this stoichiometry**: 0.019 eV/atom
**E_tot**: -9.204 eV per atom
**ΔE_f**: 81 meV per atom


Record 11
The following is a PBE calculation of a relaxed Y2Co3B12Os crystal, from Alexandria via LeMat-Bulk.

abc: 8.3170 8.3170 8.3170
angles: 37.51 37.51 37.51
Fractional positions:
Y 0.1370 0.1370 0.1370
Y 0.8630 0.8630 0.8630
Co 0.0000 0.5000 0.5000
Co 0.5000 0.0000 0.5000
Co 0.5000 0.5000 0.0000
B 0.1581 0.1581 0.4774
B 0.1581 0.4774 0.1581
B 0.1739 0.5463 0.5463
B 0.4537 0.4537 0.8261
B 0.4537 0.8261 0.4537
B 0.4774 0.1581 0.1581
B 0.5226 0.8419 0.8419
B 0.5463 0.1739 0.5463
B 0.5463 0.5463 0.1739
B 0.8261 0.4537 0.4537
B 0.8419 0.5226 0.8419
B 0.8419 0.8419 0.5226
Os 0.5000 0.5000 0.5000

Calculated values
**Calculated volume**: 191 Å³ per cell
**E_tot**: -6.927 eV per atom
**ΔE_f**: 51 meV per atom


Record 12
The following is a PBE calculation of a relaxed In2ReW crystal, from Alexandria via LeMat-Bulk.

abc: 2.9042 2.9042 10.3308
angles: 90.00 90.00 113.79
Fractional positions:
In 0.0000 0.0000 0.0000
In 0.5000 0.5000 0.3087
Re 0.0000 0.0000 0.5569
W 0.5000 0.5000 0.7503

Calculated values
**Calculated volume**: 80 Å³ per cell
**Energy above the lowest structure with this stoichiometry**: 0.255 eV/atom
**E_tot**: -7.202 eV per atom
**ΔE_f**: 518 meV per atom


Record 13
The following is a PBE calculation of a relaxed MnSiOs2 crystal, from Alexandria via LeMat-Bulk.

abc: 2.7615 3.7602 5.1228
angles: 90.00 90.00 90.00
Fractional positions:
Mn 0.0000 0.0000 0.0000
Si 0.5000 0.5000 0.7348
Os 0.0000 0.0000 0.5167
Os 0.5000 0.5000 0.2131

Calculated values
**Calculated volume**: 53 Å³ per cell
**E_tot**: -9.305 eV per atom


Record 14
The following is a PBE calculation of a relaxed NdY8Er2 crystal, from Alexandria via LeMat-Bulk.

abc: 9.3320 9.3320 5.8918
angles: 105.63 105.63 122.04
Fractional positions:
Nd 0.0000 0.0000 0.0000
Y 0.0988 0.3402 0.6820
Y 0.2059 0.7941 0.0000
Y 0.3402 0.0988 0.6820
Y 0.4307 0.4307 0.2086
Y 0.5693 0.5693 0.7914
Y 0.6598 0.9012 0.3180
Y 0.7941 0.2059 0.0000
Y 0.9012 0.6598 0.3180
Er 0.3085 0.6915 0.5000
Er 0.6915 0.3085 0.5000

Calculated values
**Calculated volume**: 361 Å³ per cell
**Energy above the lowest structure with this stoichiometry**: 0.016 eV/atom
**E_tot**: -5.803 eV per atom
**ΔE_f**: 161 meV per atom